1.
The following is a PBE calculation of As2OsBr after structural relaxation, from Alexandria via LeMat-Bulk.

Crystal system: orthorhombic
ΔE_f (raw): 0.994 eV per atom
Electronic total energy: -4.557 eV/atom

Cell lengths 3.1675, 4.5733, 4.8392 Å; angles 90.00, 90.00, 90.00 degrees
Last column: nearest neighbours and their distance in Å.
Element x y z (fractional)
1 As 0.0000 0.0000 0.0000  4 As 2.78, 4 Br 2.89
2 As 0.5000 0.5000 0.0000  4 As 2.78, 4 Os 2.89
3 Os 0.0000 0.5000 0.5000  4 Br 2.78, 4 As 2.89
4 Br 0.5000 0.0000 0.5000  4 Os 2.78, 4 As 2.89

2.
The following is a PBE calculation of Cr3RhS after structural relaxation, from Alexandria via LeMat-Bulk.

Crystal system: cubic
ΔE_f (raw): 1.188 eV per atom
Electronic total energy: -6.882 eV/atom

Cell lengths 4.7423, 4.7423, 4.7423 Å; angles 90.00, 90.00, 90.00 degrees
Last column: nearest neighbours and their distance in Å.
Element x y z (fractional)
1 Cr 0.0000 0.0000 0.5000  2 Rh 2.37
2 Cr 0.0000 0.5000 0.0000  2 Rh 2.37
3 Cr 0.5000 0.0000 0.0000  2 Rh 2.37
4 Rh 0.0000 0.0000 0.0000  6 Cr 2.37
5 S 0.5000 0.5000 0.5000  12 Cr 3.35

3.
The following is a PBE calculation of PmNd5Sn3 after structural relaxation, from Alexandria via LeMat-Bulk.

Crystal system: hexagonal
Electronic total energy: -5.086 eV/atom

Cell lengths 9.6468, 9.6468, 6.7729 Å; angles 90.00, 90.00, 120.00 degrees
Last column: nearest neighbours and their distance in Å.
Element x y z (fractional)
1 Pm 0.0000 0.0000 0.0000  2 Pm 3.39, 6 Sn 3.63, 6 Nd 3.63
2 Pm 0.0000 0.0000 0.5000  2 Pm 3.39, 6 Sn 3.63, 6 Nd 3.63
3 Nd 0.0000 0.3333 0.2500  5 Sn 3.21-3.39
4 Nd 0.0000 0.6667 0.7500  5 Sn 3.21-3.39
5 Nd 0.3333 0.0000 0.2500  5 Sn 3.21-3.39
6 Nd 0.3333 0.3333 0.7500  5 Sn 3.21-3.39
7 Nd 0.3333 0.6667 0.0000  8 Nd 3.39-3.63, 6 Sn 3.64
8 Nd 0.3333 0.6667 0.5000  8 Nd 3.39-3.63, 6 Sn 3.64
9 Nd 0.6667 0.0000 0.7500  5 Sn 3.21-3.39
10 Nd 0.6667 0.3333 0.0000  8 Nd 3.39-3.63, 6 Sn 3.64
11 Nd 0.6667 0.3333 0.5000  8 Nd 3.39-3.63, 6 Sn 3.64
12 Nd 0.6667 0.6667 0.2500  5 Sn 3.21-3.39
13 Sn 0.0000 0.3327 0.7500  5 Nd 3.21-3.39
14 Sn 0.0000 0.6673 0.2500  5 Nd 3.21-3.39
15 Sn 0.3327 0.0000 0.7500  5 Nd 3.21-3.39
16 Sn 0.3327 0.3327 0.2500  5 Nd 3.21-3.39
17 Sn 0.6673 0.0000 0.2500  5 Nd 3.21-3.39
18 Sn 0.6673 0.6673 0.7500  5 Nd 3.21-3.39

4.
The following is a PBE calculation of TiBe2Pb2 after structural relaxation, from Alexandria via LeMat-Bulk.

Crystal system: tetragonal
Electronic total energy: -3.879 eV/atom

Cell lengths 7.5576, 7.5576, 3.3863 Å; angles 90.00, 90.00, 90.00 degrees
Last column: nearest neighbours and their distance in Å.
Element x y z (fractional)
1 Ti 0.0000 0.0000 0.0000  4 Pb 2.81
2 Ti 0.5000 0.5000 0.0000  4 Pb 2.81
3 Be 0.1198 0.3802 0.5000  1 Be 2.56, 6 Pb 2.79-2.81
4 Be 0.3802 0.8802 0.5000  1 Be 2.56, 6 Pb 2.79-2.81
5 Be 0.6198 0.1198 0.5000  1 Be 2.56, 6 Pb 2.79-2.81
6 Be 0.8802 0.6198 0.5000  1 Be 2.56, 6 Pb 2.79-2.81
7 Pb 0.1698 0.6698 0.0000  6 Be 2.79-2.81, 2 Ti 2.81
8 Pb 0.3302 0.1698 0.0000  6 Be 2.79-2.81, 2 Ti 2.81
9 Pb 0.6698 0.8302 0.0000  6 Be 2.79-2.81, 2 Ti 2.81
10 Pb 0.8302 0.3302 0.0000  6 Be 2.79-2.81, 2 Ti 2.81

5.
The following is a PBE calculation of CePr2Hg after structural relaxation, from Alexandria via LeMat-Bulk.

Crystal system: trigonal
Electronic total energy: -3.861 eV/atom

Cell lengths 12.1395, 12.1395, 12.1395 Å; angles 16.44, 16.44, 16.44 degrees
Last column: nearest neighbours and their distance in Å.
Element x y z (fractional)
1 Ce 0.0000 0.0000 0.0000  2 Pr 3.34, 6 Ce 3.47
2 Pr 0.0930 0.0930 0.0930  3 Hg 3.32, 1 Ce 3.34, 6 Pr 3.47
3 Pr 0.9070 0.9070 0.9070  3 Hg 3.32, 1 Ce 3.34, 6 Pr 3.47
4 Hg 0.5000 0.5000 0.5000  6 Pr 3.32, 6 Hg 3.47

6.
The following is a PBE calculation of ScRh after structural relaxation, from Alexandria via LeMat-Bulk.

Crystal system: tetragonal
Electronic total energy: -7.235 eV/atom

Cell lengths 7.3222, 7.3222, 7.3222 Å; angles 92.52, 92.52, 155.80 degrees
Last column: nearest neighbours and their distance in Å.
Element x y z (fractional)
1 Sc 0.1341 0.3305 0.4646  4 Rh 2.61-2.63
2 Sc 0.3305 0.8659 0.1964  4 Rh 2.61-2.63
3 Sc 0.6695 0.1341 0.8036  4 Rh 2.61-2.63
4 Sc 0.8659 0.6695 0.5354  4 Rh 2.61-2.63
5 Rh 0.0747 0.8200 0.8948  4 Sc 2.61-2.63, 2 Rh 2.79
6 Rh 0.1800 0.0747 0.2547  4 Sc 2.61-2.63, 2 Rh 2.79
7 Rh 0.8200 0.9253 0.7453  4 Sc 2.61-2.63, 2 Rh 2.79
8 Rh 0.9253 0.1800 0.1052  4 Sc 2.61-2.63, 2 Rh 2.79

> Among the records above, which one has the highest electronic total energy?

CePr2Hg